# 1
Re2C: relaxed, PBE.

Properties
- E_form (eV per formula unit) = -0.1
- DFT total energy (eV/atom) = -11.407

abc: 2.8639 2.8639 9.9348
angles: 90.00 90.00 120.00
With the nearest neighbours (Å) after each atom.
Space group P6_3/mmc (No. 194)
Unique sites:
Re 0.3333 0.6667 0.1083 (multiplicity 4)  3 C 2.17
C 0.3333 0.6667 0.7500 (multiplicity 2)  6 Re 2.17

=====

# 2
ReC3: relaxed, PBE.

Properties
- E_form (eV per formula unit) = 8.5
- DFT total energy (eV/atom) = -7.901

abc: 3.1716 3.1716 4.0399
angles: 90.00 90.00 90.00
With the nearest neighbours (Å) after each atom.
Space group P4/mmm (No. 123)
Unique sites:
Re 0.0000 0.0000 0.0000 (multiplicity 1)  2 C 2.02
C 0.0000 0.0000 0.5000 (multiplicity 1)  2 Re 2.02
C 0.5000 0.5000 0.1685 (multiplicity 2)  1 C 1.36

=====

# 3
Re5C: relaxed, PBE.

Properties
- E_form (eV per formula unit) = 9.8
- DFT total energy (eV/atom) = -10.282

abc: 7.2317 7.2317 7.2317
angles: 90.00 90.00 90.00
With the nearest neighbours (Å) after each atom.
Space group F-43m (No. 216)
Unique sites:
Re 0.0000 0.0000 0.0000 (multiplicity 4)  12 Re 3.00, 4 C 3.13
Re 0.1241 0.1241 0.6241 (multiplicity 16)  6 Re 2.54-2.57
C 0.2500 0.2500 0.2500 (multiplicity 4)  16 Re 3.00-3.13